# AgHBr3 | Alexandria | PBE | relaxed
# Volume (Å³ per cell): 109.5
# SG: Pm-3m (221)
# Theoretical density (g cm⁻³): 5.285
# ΔE to the lowest computed polymorph (meV/atom): 740
data_AgHBr3
_cell_length_a 4.784
_cell_length_b 4.784
_cell_length_c 4.784
_cell_angle_alpha 90.00
_cell_angle_beta 90.00
_cell_angle_gamma 90.00
_symmetry_space_group_name_H-M 'P 1'
_symmetry_Int_Tables_number 1
loop_
_symmetry_equiv_pos_as_xyz
'x,y,z'
loop_
_atom_site_label
_atom_site_type_symbol
_atom_site_fract_x
_atom_site_fract_y
_atom_site_fract_z
_atom_site_occupancy
Ag1 Ag 0.000 0.000 0.000 1
H1 H 0.500 0.500 0.500 1
Br1 Br 0.000 0.500 0.500 1
Br2 Br 0.500 0.000 0.500 1
Br3 Br 0.500 0.500 0.000 1